Record 1
The following is a DFT calculation (PBE-GGA) of a relaxed Tm2TcAu crystal.

Unit cell a=3.4549 b=3.4549 c=6.9923 alpha=90.00 beta=90.00 gamma=90.00
Closest atoms and distances in Å follow each position.
Fractional positions:
Tm (0.0000, 0.0000, 0.2305)  4 Tc 2.93, 4 Au 3.09, 1 Tm 3.22
Tm (0.0000, 0.0000, 0.7695)  4 Tc 2.93, 4 Au 3.09, 1 Tm 3.22
Tc (0.5000, 0.5000, 0.0000)  8 Tm 2.93
Au (0.5000, 0.5000, 0.5000)  8 Tm 3.09, 4 Au 3.45

Energy relative to the elements in meV per atom: -492
Space-group type: P4/mmm

=====

Record 2
The following is a DFT calculation (PBE-GGA) of a relaxed Tm4TcAu crystal.

Unit cell a=4.2890 b=7.6027 c=18.1072 alpha=90.00 beta=90.00 gamma=90.00
Closest atoms and distances in Å follow each position.
Fractional positions:
Au (0.7500, 0.7700, 0.8001)  7 Tm 2.91-3.15
Au (0.2500, 0.2300, 0.1999)  7 Tm 2.91-3.15
Au (0.2500, 0.7300, 0.3001)  7 Tm 2.91-3.15
Au (0.7500, 0.2700, 0.6999)  7 Tm 2.91-3.15
Tm (0.7500, 0.4286, 0.2831)  4 Au 3.02-3.15, 1 Tc 3.12
Tm (0.2500, 0.5034, 0.4295)  3 Tc 2.89-3.05, 1 Au 2.91
Tm (0.7500, 0.9286, 0.2169)  4 Au 3.02-3.15, 1 Tc 3.12
Tm (0.2500, 0.5996, 0.1451)  2 Tc 2.86, 2 Au 2.98
Tm (0.2500, 0.0996, 0.3549)  2 Tc 2.86, 2 Au 2.98
Tm (0.2500, 0.0034, 0.0705)  3 Tc 2.89-3.05, 1 Au 2.91
Tm (0.7500, 0.3518, 0.0440)  3 Tc 2.98-3.04
Tm (0.2500, 0.5714, 0.7169)  4 Au 3.02-3.15, 1 Tc 3.12
Tm (0.7500, 0.9966, 0.9295)  3 Tc 2.89-3.05, 1 Au 2.91
Tm (0.2500, 0.1482, 0.5440)  3 Tc 2.98-3.04
Tm (0.7500, 0.4966, 0.5705)  3 Tc 2.89-3.05, 1 Au 2.91
Tm (0.7500, 0.8518, 0.4560)  3 Tc 2.98-3.04
Tm (0.7500, 0.9004, 0.6451)  2 Tc 2.86, 2 Au 2.98
Tm (0.2500, 0.0714, 0.7831)  4 Au 3.02-3.15, 1 Tc 3.12
Tm (0.2500, 0.6482, 0.9560)  3 Tc 2.98-3.04
Tm (0.7500, 0.4004, 0.8549)  2 Tc 2.86, 2 Au 2.98
Tc (0.7500, 0.2495, 0.4379)  9 Tm 2.86-3.12
Tc (0.7500, 0.7495, 0.0621)  9 Tm 2.86-3.12
Tc (0.2500, 0.2505, 0.9379)  9 Tm 2.86-3.12
Tc (0.2500, 0.7505, 0.5621)  9 Tm 2.86-3.12

Energy relative to the elements in meV per atom: -417
Space-group type: Pnma

=====

Record 3
The following is a DFT calculation (PBE-GGA) of a relaxed UTc2Au crystal.

Unit cell a=3.7234 b=4.2872 c=4.2872 alpha=90.00 beta=90.00 gamma=90.00
Closest atoms and distances in Å follow each position.
Fractional positions:
Au (0.5000, 0.5000, 0.5000)  8 Tc 2.84, 4 U 3.03
Tc (0.0000, 0.0000, 0.5000)  4 U 2.84, 4 Au 2.84, 4 Tc 3.03
Tc (0.0000, 0.5000, 0.0000)  4 U 2.84, 4 Au 2.84, 4 Tc 3.03
U (0.5000, 0.0000, 0.0000)  8 Tc 2.84, 4 Au 3.03

Energy relative to the elements in meV per atom: -135
Space-group type: P4/mmm

=====

Record 4
The following is a DFT calculation (PBE-GGA) of a relaxed U2TcAu crystal.

Unit cell a=3.1531 b=3.1531 c=8.2721 alpha=90.00 beta=90.00 gamma=90.00
Closest atoms and distances in Å follow each position.
Fractional positions:
Tc (0.5000, 0.5000, 0.0000)  8 U 2.90, 4 Tc 3.15
Au (0.5000, 0.5000, 0.5000)  4 Au 3.15, 8 U 3.20
U (0.0000, 0.0000, 0.2232)  4 Tc 2.90, 4 U 3.15, 4 Au 3.20
U (0.0000, 0.0000, 0.7768)  4 Tc 2.90, 4 U 3.15, 4 Au 3.20

Energy relative to the elements in meV per atom: -14
Distance to the lowest polymorph of the same formula in kJ/mol of formula units: 0
Space-group type: P4/mmm

=====

Record 5
The following is a DFT calculation (PBE-GGA) of a relaxed U2TcAu crystal.

Unit cell a=3.9253 b=3.9253 c=7.3314 alpha=74.47 beta=74.47 gamma=60.00
Closest atoms and distances in Å follow each position.
Fractional positions:
U (0.2615, 0.2615, 0.2156)  3 Tc 2.72, 3 Au 3.01
U (0.7385, 0.7385, 0.7844)  3 Tc 2.72, 3 Au 3.01
Au (0.5000, 0.5000, 0.5000)  6 U 3.01
Tc (0.0000, 0.0000, 0.0000)  6 U 2.72

Energy relative to the elements in meV per atom: 238
Distance to the lowest polymorph of the same formula in kJ/mol of formula units: 97
Space-group type: R-3m

=====

Record 6
The following is a DFT calculation (PBE-GGA) of a relaxed VTcAu crystal.

Unit cell a=2.6522 b=4.4622 c=4.4622 alpha=120.00 beta=90.00 gamma=90.00
Closest atoms and distances in Å follow each position.
Fractional positions:
V (0.6576, 0.6667, 0.3333)  2 V 2.65, 3 Tc 2.67, 3 Au 2.69
Tc (0.3979, 0.3333, 0.6667)  2 Tc 2.65, 3 V 2.67, 6 Au 2.84-2.96
Au (0.9445, 0.0000, 0.0000)  2 Au 2.65, 3 V 2.69, 6 Tc 2.84-2.96

Energy relative to the elements in meV per atom: 142
Distance to the lowest polymorph of the same formula in kJ/mol of formula units: 33
Space-group type: P3m1